## SnMo6Se8 (PBE-GGA)

Data for crystalline SnMo6Se8 at its relaxed geometry.

abc: 6.853 6.853 6.853
angles: 89.35 89.35 89.35
Atoms (fractional coordinates):
Sn 0.000 0.000 0.000
Mo 0.238 0.423 0.560
Mo 0.423 0.560 0.238
Mo 0.440 0.762 0.577
Mo 0.560 0.238 0.423
Mo 0.577 0.440 0.762
Mo 0.762 0.577 0.440
Se 0.122 0.747 0.377
Se 0.241 0.241 0.241
Se 0.253 0.623 0.878
Se 0.377 0.122 0.747
Se 0.623 0.878 0.253
Se 0.747 0.377 0.122
Se 0.759 0.759 0.759
Se 0.878 0.253 0.623

Output
For the uncorrected energy, the calculation gives -104.29 eV/cell. The density of states at the Fermi level is 8.54 states/eV/f.u. The calculation puts the formation energy (no corrections) at -0.495 eV per atom.

---

## Sb2ClO (PBE-GGA)

Data for crystalline Sb2ClO at its relaxed geometry.

abc: 5.248 5.248 14.884
angles: 90.00 90.00 90.00
Atoms (fractional coordinates):
Sb 0.127 0.250 0.125
Sb 0.250 0.627 0.375
Sb 0.250 0.873 0.875
Sb 0.373 0.250 0.625
Sb 0.627 0.750 0.625
Sb 0.750 0.127 0.875
Sb 0.750 0.373 0.375
Sb 0.873 0.750 0.125
Cl 0.000 0.000 0.500
Cl 0.000 0.500 0.750
Cl 0.500 0.000 0.250
Cl 0.500 0.500 0.000
O 0.000 0.000 0.000
O 0.000 0.500 0.250
O 0.500 0.000 0.750
O 0.500 0.500 0.500

Output
For the uncorrected energy, the calculation gives -65.26 eV/cell. The density of states at the Fermi level is 2.02 states/eV/f.u. The calculation puts the energy above the lowest structure with this stoichiometry at 348 meV per atom. The calculation puts the formation energy (no corrections) at -0.316 eV per atom.

---

## Ba5Cr (PBE-GGA)

Data for crystalline Ba5Cr at its relaxed geometry.

abc: 7.320 7.320 6.707
angles: 90.00 90.00 120.00
Atoms (fractional coordinates):
Ba 0.000 0.689 0.000
Ba 0.311 0.311 0.000
Ba 0.333 0.667 0.500
Ba 0.667 0.333 0.500
Ba 0.689 0.000 0.000
Cr 0.000 0.000 0.500

Output
For the uncorrected energy, the calculation gives -16.93 eV/cell. The density of states at the Fermi level is 10.01 states/eV/f.u. The calculation puts the energy above the lowest structure with this stoichiometry at 96 meV per atom. The energy of formation is 0.385 eV/atom.

---

## Li2TaW (PBE-GGA)

Data for crystalline Li2TaW at its relaxed geometry.

abc: 3.693 3.693 9.683
angles: 90.00 90.00 90.00
Atoms (fractional coordinates):
Li 0.000 0.500 0.250
Li 0.000 0.500 0.750
Li 0.500 0.000 0.250
Li 0.500 0.000 0.750
Ta 0.000 0.000 0.000
Ta 0.500 0.500 0.500
W 0.000 0.000 0.500
W 0.500 0.500 0.000

Output
For the uncorrected energy, the calculation gives -52.56 eV/cell. The density of states at the Fermi level is 3.31 states/eV/f.u. The calculation puts the energy above the lowest structure with this stoichiometry at 352 meV per atom. The energy of formation is 0.589 eV/atom.

---

## La4PrIn5 (PBE-GGA)

Data for crystalline La4PrIn5 at its relaxed geometry.

abc: 3.940 3.940 19.754
angles: 90.00 90.00 90.00
Atoms (fractional coordinates):
La 0.000 0.000 0.101
La 0.000 0.000 0.302
La 0.000 0.000 0.698
La 0.000 0.000 0.899
Pr 0.000 0.000 0.500
In 0.500 0.500 0.000
In 0.500 0.500 0.201
In 0.500 0.500 0.403
In 0.500 0.500 0.597
In 0.500 0.500 0.799

Output
For the uncorrected energy, the calculation gives -43.30 eV/cell. The density of states at the Fermi level is 6.36 states/eV/f.u. The energy of formation is -0.512 eV/atom.

---

## TcWN (PBE-GGA)

Data for crystalline TcWN at its relaxed geometry.

abc: 10.271 2.856 4.945
angles: 90.00 99.18 90.00
Atoms (fractional coordinates):
Tc 0.000 0.000 0.000
Tc 0.213 0.000 0.410
Tc 0.500 0.500 0.000
Tc 0.713 0.500 0.410
W 0.221 0.500 0.921
W 0.496 0.000 0.503
W 0.721 0.000 0.921
W 0.996 0.500 0.503
N 0.363 0.000 0.791
N 0.363 0.500 0.291
N 0.863 0.000 0.291
N 0.863 0.500 0.791

Output
For the uncorrected energy, the calculation gives -128.19 eV/cell. The density of states at the Fermi level is 1.85 states/eV/f.u. The calculation puts the energy above the lowest structure with this stoichiometry at 0 meV per atom. The calculation puts the formation energy (no corrections) at -0.134 eV per atom.

---

## Er5Cu2Te2 (PBE-GGA)

Data for crystalline Er5Cu2Te2 at its relaxed geometry.

abc: 8.565 8.565 7.698
angles: 90.00 90.00 53.99
Atoms (fractional coordinates):
Er 0.000 0.000 0.000
Er 0.042 0.718 0.661
Er 0.218 0.542 0.161
Er 0.282 0.958 0.661
Er 0.458 0.782 0.161
Er 0.500 0.500 0.500
Er 0.542 0.218 0.839
Er 0.718 0.042 0.339
Er 0.782 0.458 0.839
Er 0.958 0.282 0.339
Cu 0.129 0.871 0.374
Cu 0.371 0.629 0.874
Cu 0.629 0.371 0.126
Cu 0.871 0.129 0.626
Te 0.207 0.207 0.000
Te 0.293 0.293 0.500
Te 0.707 0.707 0.500
Te 0.793 0.793 0.000

Output
For the uncorrected energy, the calculation gives -86.79 eV/cell. The density of states at the Fermi level is 7.85 states/eV/f.u. The calculation puts the formation energy (no corrections) at -0.678 eV per atom.

---

## ZnMoPt (PBE-GGA)

Data for crystalline ZnMoPt at its relaxed geometry.

abc: 2.752 3.966 8.278
angles: 90.00 90.00 90.00
Atoms (fractional coordinates):
Zn 0.000 0.000 0.000
Zn 0.500 0.500 0.500
Mo 0.000 0.000 0.666
Mo 0.500 0.500 0.166
Pt 0.000 0.000 0.335
Pt 0.500 0.500 0.835

Output
For the uncorrected energy, the calculation gives -36.99 eV/cell. The density of states at the Fermi level is 2.42 states/eV/f.u. The energy of formation is -0.116 eV/atom.

---

Q: Which of these has the highest uncorrected energy?
A: Ba5Cr